VASP calculation (PBE-GGA) on crystalline KSr3Y at its relaxed geometry.

abc: 6.828 6.828 6.828
angles: 90.00 90.00 90.00
Space group Pm-3m (No. 221)
One atom of each set of equivalent atoms:
K1 0.000 0.000 0.000
Sr1 0.000 0.500 0.500
Y1 0.500 0.500 0.500

Calculated values
formation energy from the elements	52.7	kJ/mol of atoms
energy relative to the lowest polymorph listed for this composition	0	meV per atom
total magnetization	3.56	μB/f.u.

VASP calculation (PBE-GGA) on crystalline TiZn5Cu4 at its relaxed geometry.

abc: 2.937 2.937 15.708
angles: 90.00 90.00 90.00
Space group P4/mmm (No. 123)
One atom of each set of equivalent atoms:
Ti1 0.000 0.000 0.000
Zn1 0.500 0.500 0.118
Zn2 0.500 0.500 0.309
Zn3 0.500 0.500 0.500
Cu1 0.000 0.000 0.213
Cu2 0.000 0.000 0.405

Calculated values
formation energy from the elements	-10.5	kJ/mol of atoms
total magnetization	0.14	μB/f.u.

VASP calculation (PBE-GGA) on crystalline CeLuPuTc at its relaxed geometry.

abc: 7.107 7.107 7.107
angles: 90.00 90.00 90.00
Space group F-43m (No. 216)
One atom of each set of equivalent atoms:
Ce1 0.000 0.000 0.000
Lu1 0.000 0.000 0.500
Pu1 0.250 0.250 0.750
Tc1 0.250 0.250 0.250

Calculated values
formation energy from the elements	13.7	kJ/mol of atoms
total magnetization	6.74	μB/f.u.